Entry 1:
VASP calculation (PBE) on AsPOs2 after structural relaxation.

Unit cell a=2.8193 b=2.8193 c=10.0210 alpha=90.00 beta=90.00 gamma=120.80
Element x y z (fractional)
As: 0.0000 0.0000 0.0000
P: 0.5000 0.5000 0.3614
Os: 0.0000 0.0000 0.5524
Os: 0.5000 0.5000 0.7855

Calculated values
ΔE_f: 0.505 eV per atom
SG: No. 35
Excess energy over the best structure of this formula in the dataset: 443 meV/atom

=====

Entry 2:
VASP calculation (PBE) on As2POs after structural relaxation.

Unit cell a=3.7247 b=3.7247 c=4.6692 alpha=90.00 beta=90.00 gamma=90.00
Element x y z (fractional)
As: 0.0000 0.5000 0.0000
As: 0.5000 0.0000 0.0000
P: 0.0000 0.0000 0.5000
Os: 0.5000 0.5000 0.5000

Calculated values
ΔE_f: 0.793 eV per atom
SG: No. 123

=====

Entry 3:
VASP calculation (PBE) on AsPOs after structural relaxation.

Unit cell a=5.3043 b=3.0016 c=6.1009 alpha=90.00 beta=92.03 gamma=90.00
Element x y z (fractional)
As: 0.1710 0.0000 0.1365
As: 0.8290 0.0000 0.8635
P: 0.3353 0.5000 0.6279
P: 0.6647 0.5000 0.3721
Os: 0.0000 0.0000 0.5000
Os: 0.5000 0.5000 0.0000

Calculated values
ΔE_f: -0.325 eV per atom
SG: No. 10
Excess energy over the best structure of this formula in the dataset: 43 meV/atom

=====

Entry 4:
VASP calculation (PBE) on As2POs after structural relaxation.

Unit cell a=6.1416 b=6.1416 c=6.1416 alpha=152.23 beta=138.83 gamma=50.39
Element x y z (fractional)
As: 0.0000 0.0000 0.0000
As: 0.6668 0.1668 0.5000
P: 0.3772 0.3772 0.0000
Os: 0.2114 0.7114 0.5000

Calculated values
ΔE_f: 0.385 eV per atom
SG: No. 44

=====

Entry 5:
VASP calculation (PBE) on AsPOs2 after structural relaxation.

Unit cell a=4.3013 b=4.3013 c=5.1391 alpha=101.66 beta=101.66 gamma=41.82
Element x y z (fractional)
As: 0.0000 0.0000 0.0000
P: 0.7695 0.7695 0.4471
Os: 0.2565 0.2565 0.7934
Os: 0.4772 0.4772 0.3933

Calculated values
ΔE_f: 0.062 eV per atom
SG: No. 8
Excess energy over the best structure of this formula in the dataset: 0 meV/atom

=====

Entry 6:
VASP calculation (PBE) on AsPOs2 after structural relaxation.

Unit cell a=2.8935 b=2.8935 c=8.5493 alpha=90.00 beta=90.00 gamma=121.48
Element x y z (fractional)
As: 0.0000 0.0000 0.0000
P: 0.0000 0.0000 0.5000
Os: 0.5000 0.5000 0.2877
Os: 0.5000 0.5000 0.7123

Calculated values
ΔE_f: 0.546 eV per atom
SG: No. 65
Excess energy over the best structure of this formula in the dataset: 483 meV/atom

=====

Entry 7:
VASP calculation (PBE) on As2POs after structural relaxation.

Unit cell a=2.8951 b=2.8951 c=8.3948 alpha=90.00 beta=90.00 gamma=90.00
Element x y z (fractional)
As: 0.0000 0.0000 0.0000
As: 0.5000 0.5000 0.2994
P: 0.5000 0.5000 0.6773
Os: 0.0000 0.0000 0.5141

Calculated values
ΔE_f: 0.246 eV per atom
SG: No. 99

=====

Entry 8:
VASP calculation (PBE) on As2POs after structural relaxation.

Unit cell a=4.5891 b=4.5891 c=2.9921 alpha=90.00 beta=90.00 gamma=90.00
Element x y z (fractional)
As: 0.0000 0.5000 0.0000
As: 0.5000 0.0000 0.0000
P: 0.0000 0.0000 0.5000
Os: 0.5000 0.5000 0.5000

Calculated values
ΔE_f: 0.732 eV per atom
SG: No. 123

=====

Entry 9:
VASP calculation (PBE) on As2POs after structural relaxation.

Unit cell a=5.0534 b=5.0534 c=3.9935 alpha=90.00 beta=90.00 gamma=128.44
Element x y z (fractional)
As: 0.1763 0.8237 0.0000
As: 0.8237 0.1763 0.0000
P: 0.5000 0.5000 0.5000
Os: 0.0000 0.0000 0.5000

Calculated values
ΔE_f: 0.006 eV per atom
SG: No. 65

=====

Entry 10:
VASP calculation (PBE) on RbAsP2Os after structural relaxation.

Unit cell a=4.5992 b=4.5992 c=5.6478 alpha=90.00 beta=90.00 gamma=90.00
Element x y z (fractional)
Rb: 0.0000 0.0000 0.0000
As: 0.5000 0.5000 0.0000
P: 0.0000 0.5000 0.5000
P: 0.5000 0.0000 0.5000
Os: 0.5000 0.5000 0.5000

Calculated values
ΔE_f: 0.415 eV per atom
SG: No. 123

=====

Entry 11:
VASP calculation (PBE) on ReAsPOs2 after structural relaxation.

Unit cell a=4.3795 b=4.3795 c=4.4430 alpha=90.00 beta=90.00 gamma=90.00
Element x y z (fractional)
Re: 0.0000 0.0000 0.0000
As: 0.5000 0.5000 0.0000
P: 0.0000 0.0000 0.5000
Os: 0.0000 0.5000 0.5000
Os: 0.5000 0.0000 0.5000

Calculated values
ΔE_f: 1.097 eV per atom
SG: No. 123

=====

Entry 12:
VASP calculation (PBE) on AsPOsS2 after structural relaxation.

Unit cell a=4.5098 b=4.5098 c=4.8179 alpha=90.00 beta=90.00 gamma=90.00
Element x y z (fractional)
As: 0.0000 0.0000 0.0000
P: 0.5000 0.5000 0.0000
Os: 0.5000 0.5000 0.5000
S: 0.0000 0.5000 0.5000
S: 0.5000 0.0000 0.5000

Calculated values
SG: No. 123
Excess energy over the best structure of this formula in the dataset: 0 meV/atom
Formation energy from raw total energies: 0.770 eV per atom